VASP calculation (GGA+U) on a relaxed structure of Rb2LiWF6.

Its crystal system is tetragonal. The calculation puts the total DFT energy (no corrections) at -5.0206 eV/atom.

It has space group I4/mmm (No. 139), with a = 6.0510 Å, b = 6.0510 Å, c = 8.5282 Å, α = 90.00°, β = 90.00° and γ = 90.00°. The inequivalent atoms are Rb at (0.0000, 0.5000, 0.2500), Li at (0.0000, 0.0000, 0.0000), W at (0.0000, 0.0000, 0.5000), F at (0.0000, 0.0000, 0.2511) and F at (0.2483, 0.2483, 0.5000).